Material: Cd3MoO
Method: DFT, GGA+U
State: relaxed

Properties
Energy ... -2.687 eV per atom

abc: 4.6920 4.6920 4.6920
angles: 90.00 90.00 90.00
With the nearest neighbours (Å) after each atom.
Fractional coordinates of all 5 atoms:
1 O 0.0000 0.0000 0.0000  6 Cd 2.35
2 Cd 0.0000 0.0000 0.5000  2 O 2.35
3 Cd 0.5000 0.0000 0.0000  2 O 2.35
4 Cd 0.0000 0.5000 0.0000  2 O 2.35
5 Mo 0.5000 0.5000 0.5000  12 Cd 3.32